First-principles (PBE) data for an optimized crystal structure of LiHgOs2, as listed in Alexandria via LeMat-Bulk.

Cell and atoms, written as POSCAR:
```
LiHgOs2
1.0
-1.352 0.969 2.376
1.134 -2.183 1.535
5.701 4.075 1.582
Os Li Hg
2 1 1
Direct
0.500 0.500 0.217
0.000 0.000 0.997
0.500 0.500 0.762
0.000 0.000 0.524
```

Summary:
total DFT energy (no corrections): -5.917 eV/atom
space group: P4mm (99)
DFT formation energy: 0.252 eV per atom
Fermi-level density of states: 2.8 states/eV/f.u.